1.
NaInSeN2 | PBE | optimized geometry

Properties
**Space-group type**: P4/mmm, No. 123
**ΔE_f (raw)**: 1.600 eV/atom
**Spin magnetization**: 5.04 μB per formula unit

Cell lengths 4.5297, 4.5297, 5.6002 Å; angles 90.00, 90.00, 90.00 degrees
Last column: nearest neighbours and their distance in Å.
Positions (direct):
Na 0.0000 0.0000 0.0000  4 N 2.26
In 0.5000 0.5000 0.5000  4 Se 3.20
Se 0.0000 0.0000 0.5000  2 Na 2.80
N 0.0000 0.5000 0.0000  2 Na 2.26
N 0.5000 0.0000 0.0000  2 Na 2.26

=====

2.
NaInSeN2 | PBE | optimized geometry

Properties
**Space-group type**: P4/mmm, No. 123
**ΔE_f (raw)**: 0.983 eV/atom
**Spin magnetization**: 4.01 μB per formula unit

Cell lengths 4.3971, 4.3971, 5.8077 Å; angles 90.00, 90.00, 90.00 degrees
Last column: nearest neighbours and their distance in Å.
Positions (direct):
Na 0.0000 0.0000 0.0000  4 Se 3.11
In 0.5000 0.5000 0.5000  4 N 2.20
Se 0.5000 0.5000 0.0000  2 In 2.90, 4 Na 3.11
N 0.0000 0.5000 0.5000  2 In 2.20
N 0.5000 0.0000 0.5000  2 In 2.20

=====

3.
Na3U3InN8 | PBE | optimized geometry

Properties
**Space-group type**: R-3m, No. 166
**ΔE_f (raw)**: -0.748 eV/atom
**Spin magnetization**: 0.00 μB per formula unit

Cell lengths 6.9425, 6.9425, 6.9425 Å; angles 59.56, 59.56, 59.56 degrees
Last column: nearest neighbours and their distance in Å.
Positions (direct):
Na 0.0000 0.5000 0.5000  6 N 2.68-2.76
Na 0.5000 0.0000 0.5000  6 N 2.68-2.76
Na 0.5000 0.5000 0.0000  6 N 2.68-2.76
U 0.0000 0.0000 0.5000  6 N 2.18-2.25
U 0.0000 0.5000 0.0000  6 N 2.18-2.25
U 0.5000 0.0000 0.0000  6 N 2.18-2.25
In 0.5000 0.5000 0.5000  6 N 2.36
N 0.2033 0.7377 0.7377  2 U 2.18, 1 In 2.36
N 0.2282 0.2282 0.2282  3 U 2.25
N 0.2623 0.2623 0.7967  2 U 2.18, 1 In 2.36
N 0.2623 0.7967 0.2623  2 U 2.18, 1 In 2.36
N 0.7377 0.2033 0.7377  2 U 2.18, 1 In 2.36
N 0.7377 0.7377 0.2033  2 U 2.18, 1 In 2.36
N 0.7718 0.7718 0.7718  3 U 2.25
N 0.7967 0.2623 0.2623  2 U 2.18, 1 In 2.36

=====

4.
Na4U3InN8 | PBE | optimized geometry

Properties
**Space-group type**: R-3m, No. 166
**ΔE_f (raw)**: -0.798 eV/atom
**Spin magnetization**: 1.07 μB per formula unit

Cell lengths 6.9575, 6.9575, 6.9575 Å; angles 59.53, 59.53, 59.53 degrees
Last column: nearest neighbours and their distance in Å.
Positions (direct):
Na 0.0000 0.0000 0.0000  6 N 2.56
Na 0.0000 0.5000 0.5000  6 N 2.69-2.72
Na 0.5000 0.0000 0.5000  6 N 2.69-2.72
Na 0.5000 0.5000 0.0000  6 N 2.69-2.72
U 0.0000 0.0000 0.5000  6 N 2.21-2.25
U 0.0000 0.5000 0.0000  6 N 2.21-2.25
U 0.5000 0.0000 0.0000  6 N 2.21-2.25
In 0.5000 0.5000 0.5000  6 N 2.40
N 0.2061 0.7421 0.7421  2 U 2.21, 1 In 2.40
N 0.2274 0.2274 0.2274  3 U 2.25
N 0.2579 0.2579 0.7939  2 U 2.21, 1 In 2.40
N 0.2579 0.7939 0.2579  2 U 2.21, 1 In 2.40
N 0.7421 0.2061 0.7421  2 U 2.21, 1 In 2.40
N 0.7421 0.7421 0.2061  2 U 2.21, 1 In 2.40
N 0.7726 0.7726 0.7726  3 U 2.25
N 0.7939 0.2579 0.2579  2 U 2.21, 1 In 2.40

=====

5.
Na2VInN | PBE | optimized geometry

Properties
**Space-group type**: P4/mmm, No. 123
**ΔE_f (raw)**: 0.352 eV/atom
**Spin magnetization**: 1.80 μB per formula unit

Cell lengths 5.9830, 5.9830, 3.6759 Å; angles 90.00, 90.00, 90.00 degrees
Last column: nearest neighbours and their distance in Å.
Positions (direct):
Na 0.0000 0.5000 0.0000  2 V 2.99
Na 0.5000 0.0000 0.0000  2 V 2.99
V 0.0000 0.0000 0.0000  2 N 1.84
In 0.5000 0.5000 0.5000  8 Na 3.51, 2 In 3.68
N 0.0000 0.0000 0.5000  2 V 1.84

=====

6.
NaYInN2 | PBE | optimized geometry

Properties
**Space-group type**: P4/mmm, No. 123
**ΔE_f (raw)**: 0.745 eV/atom
**Spin magnetization**: 1.80 μB per formula unit

Cell lengths 4.5619, 4.5619, 5.8908 Å; angles 90.00, 90.00, 90.00 degrees
Last column: nearest neighbours and their distance in Å.
Positions (direct):
Na 0.0000 0.0000 0.0000  4 In 3.23
Y 0.5000 0.5000 0.5000  4 N 2.28
In 0.5000 0.5000 0.0000  2 Y 2.95, 4 Na 3.23
N 0.0000 0.5000 0.5000  2 Y 2.28
N 0.5000 0.0000 0.5000  2 Y 2.28

=====

- Among the records above, which one has the highest spin magnetization?
  number 1

=====

- Look up the spin magnetization of the second one.
  4.01 μB per formula unit

=====

- spin magnetization of number 1 (NaInSeN2)?
  5.04 μB per formula unit

=====

- The highest ΔE_f (raw) belongs to which entry?
  number 1